Below is crystalline Re2TcIr at its relaxed geometry, with properties calculated at the PBE-GGA level.

The size of the total moment comes out at 0.00 μB/atom. The value obtained for the formation enthalpy at 0 K is -0.05 eV/atom. The calculation puts the total energy at -0.407 Ha/atom.

It has space group Cm (No. 8), with a = 9.160 Å, b = 2.734 Å, c = 4.775 Å, α = 90.00°, β = 99.88° and γ = 90.00°. The inequivalent atoms are Re at (0.000, 0.000, 0.000), Re at (0.250, 0.000, 0.745), Tc at (0.000, 0.500, 0.502) and Ir at (0.248, 0.500, 0.245).


Below is crystalline Re2TcIr at its relaxed geometry, with properties calculated at the PBE-GGA level.

The size of the total moment comes out at 0.00 μB/atom. The value obtained for the formation enthalpy at 0 K is 1.31 eV/atom. The calculation puts the total energy at -0.357 Ha/atom.

It has space group I-42d (No. 122), with a = 5.625 Å, b = 5.625 Å, c = 11.144 Å, α = 90.00°, β = 90.00° and γ = 90.00°. The inequivalent atoms are Re at (0.248, 0.250, 0.125), Tc at (0.000, 0.000, 0.500) and Ir at (0.000, 0.000, 0.000).


Below is crystalline ReTc4Ir at its relaxed geometry, with properties calculated at the PBE-GGA level.

The size of the total moment comes out at 0.00 μB/atom. The value obtained for the formation enthalpy at 0 K is 0.04 eV/atom. The calculation puts the total energy at -0.383 Ha/atom.

It has space group P-1 (No. 2), with a = 4.318 Å, b = 6.981 Å, c = 6.981 Å, α = 65.64°, β = 71.99° and γ = 72.05°. The inequivalent atoms are Re at (0.250, 0.085, 0.415), Tc at (0.000, 0.332, 0.667), Tc at (0.126, 0.872, 0.876), Tc at (0.374, 0.624, 0.629), Tc at (0.499, 0.834, 0.168) and Ir at (0.250, 0.414, 0.086).


Below is crystalline ReTc4Ir at its relaxed geometry, with properties calculated at the PBE-GGA level.

The size of the total moment comes out at 0.00 μB/atom. The value obtained for the formation enthalpy at 0 K is 0.32 eV/atom. The calculation puts the total energy at -0.373 Ha/atom.

It has space group F-43m (No. 216), with a = 7.131 Å, b = 7.131 Å, c = 7.131 Å, α = 90.00°, β = 90.00° and γ = 90.00°. The inequivalent atoms are Re at (0.000, 0.000, 0.000), Tc at (0.124, 0.124, 0.624) and Ir at (0.250, 0.250, 0.250).


Below is crystalline ReTcIr2 at its relaxed geometry, with properties calculated at the PBE-GGA level.

The size of the total moment comes out at 0.00 μB/atom. The value obtained for the formation enthalpy at 0 K is 0.29 eV/atom. The calculation puts the total energy at -0.362 Ha/atom.

It has space group P4/mmm (No. 123), with a = 3.325 Å, b = 3.325 Å, c = 5.439 Å, α = 90.00°, β = 90.00° and γ = 90.00°. The inequivalent atoms are Re at (0.000, 0.000, 0.000), Tc at (0.000, 0.000, 0.500) and Ir at (0.500, 0.500, 0.250).


Below is crystalline ReTcIr2 at its relaxed geometry, with properties calculated at the PBE-GGA level.

The size of the total moment comes out at 0.00 μB/atom. The value obtained for the formation enthalpy at 0 K is -0.13 eV/atom. The calculation puts the total energy at -0.377 Ha/atom.

It has space group Cm (No. 8), with a = 9.078 Å, b = 2.724 Å, c = 4.791 Å, α = 90.00°, β = 99.64° and γ = 90.00°. The inequivalent atoms are Re at (0.000, 0.000, 0.000), Tc at (0.249, 0.000, 0.739), Ir at (0.002, 0.500, 0.504) and Ir at (0.246, 0.500, 0.234).